Density functional theory data (PBE+U) for an optimized crystal structure of SrPr3Fe4O12.

DFT total energy	-7.231	eV per atom
V	246	Å³/cell
SG	Pm
magnetic moment	19.0	μB per cell

abc: 7.8720 5.5537 5.6206
angles: 89.87 90.00 90.00
Last column: nearest neighbours and their distance in Å.
Fractional coordinates of all 20 atoms:
Sr  0.5000  0.4925  0.5315  6 O 2.49-2.75
Pr  0.5000  0.0109  0.0438  6 O 2.40-2.63
Pr  0.0000  0.5106  0.4541  6 O 2.41-2.58
Pr  0.0000  0.9936  0.9586  6 O 2.41-2.61
Fe  0.2513  0.4994  0.9970  6 O 2.01-2.03
Fe  0.7488  0.0016  0.5013  6 O 2.00-2.05
Fe  0.7487  0.4994  0.9970  6 O 2.01-2.03
Fe  0.2512  0.0016  0.5013  6 O 2.00-2.05
O  0.2870  0.2048  0.7953  2 Fe 2.01-2.02
O  0.7172  0.2793  0.2797  2 Fe 2.00-2.02
O  0.7958  0.7827  0.2158  2 Fe 2.03-2.05
O  0.2023  0.7160  0.7151  2 Fe 2.02
O  0.2042  0.7827  0.2158  2 Fe 2.03-2.05
O  0.7977  0.7160  0.7151  2 Fe 2.02
O  0.7130  0.2048  0.7953  2 Fe 2.01-2.02
O  0.2828  0.2793  0.2797  2 Fe 2.00-2.02
O  0.5000  0.5822  0.9898  2 Fe 2.01
O  0.5000  0.9368  0.4769  2 Fe 2.00
O  0.0000  0.4234  0.0152  2 Fe 2.03
O  0.0000  0.0825  0.5216  2 Fe 2.03